Entry 1:
DFT (meta-GGA SCAN) results for a crystal of Co2PHSe relaxed with PBEsol.

## Properties
The value obtained for the total magnetic moment is 1.64 μB per formula unit. The total energy comes out at -13.041 eV per atom.

Structure (CIF):
```
data_Co2PHSe
_symmetry_space_group_name_H-M 'P 4/m m m'
_symmetry_Int_Tables_number 123
_symmetry_space_group_name_Hall '-P 4 2'
_cell_length_a 3.9055
_cell_length_b 3.9055
_cell_length_c 3.4343
_cell_angle_alpha 90.00
_cell_angle_beta 90.00
_cell_angle_gamma 90.00
loop_
_atom_site_label
_atom_site_fract_x
_atom_site_fract_y
_atom_site_fract_z
_atom_site_occupancy
Co1 0.0000 0.5000 0.0000 1
P1 0.0000 0.0000 0.5000 1
H1 0.0000 0.0000 0.0000 1
Se1 0.5000 0.5000 0.5000 1
```

Entry 2:
DFT (meta-GGA SCAN) results for a crystal of CoHPd3 relaxed with PBEsol.

## Properties
The value obtained for the total magnetic moment is 2.79 μB per formula unit. The total energy comes out at -23.846 eV per atom.

Structure (CIF):
```
data_CoHPd3
_symmetry_space_group_name_H-M 'P m -3 m'
_symmetry_Int_Tables_number 221
_symmetry_space_group_name_Hall '-P 4 2 3'
_cell_length_a 3.8649
_cell_length_b 3.8649
_cell_length_c 3.8649
_cell_angle_alpha 90.00
_cell_angle_beta 90.00
_cell_angle_gamma 90.00
loop_
_atom_site_label
_atom_site_fract_x
_atom_site_fract_y
_atom_site_fract_z
_atom_site_occupancy
Co1 0.0000 0.0000 0.0000 1
H1 0.5000 0.5000 0.5000 1
Pd1 0.0000 0.5000 0.5000 1
```

Entry 3:
DFT (meta-GGA SCAN) results for a crystal of CoH3Pd relaxed with PBEsol.

## Properties
The value obtained for the total magnetic moment is 1.99 μB per formula unit. The total energy comes out at -11.768 eV per atom.

Structure (CIF):
```
data_CoH3Pd
_symmetry_space_group_name_H-M 'P m -3 m'
_symmetry_Int_Tables_number 221
_symmetry_space_group_name_Hall '-P 4 2 3'
_cell_length_a 3.3598
_cell_length_b 3.3598
_cell_length_c 3.3598
_cell_angle_alpha 90.00
_cell_angle_beta 90.00
_cell_angle_gamma 90.00
loop_
_atom_site_label
_atom_site_fract_x
_atom_site_fract_y
_atom_site_fract_z
_atom_site_occupancy
Co1 0.0000 0.0000 0.0000 1
H1 0.0000 0.5000 0.5000 1
Pd1 0.5000 0.5000 0.5000 1
```

Q: Which formula does entry 2 have?
A: CoHPd3